Record 1
A plane-wave DFT calculation with PBE-GGA was carried out for an optimized crystal structure of K3CrPt.

Properties
E_form: 0.60 eV/atom
energy relative to the lowest polymorph listed for this composition: 0 meV per atom

Unit cell a=6.1580 b=6.1580 c=6.1580 alpha=90.00 beta=90.00 gamma=90.00
Atoms (fractional coordinates):
K (0.0000, 0.0000, 0.5000)
K (0.0000, 0.5000, 0.0000)
K (0.5000, 0.0000, 0.0000)
Cr (0.5000, 0.5000, 0.5000)
Pt (0.0000, 0.0000, 0.0000)

Record 2
A plane-wave DFT calculation with PBE-GGA was carried out for an optimized crystal structure of CdTcBr2.

Properties
formation energy (no corrections): 120 kJ/mol of formula units
energy relative to the lowest polymorph listed for this composition: 284 meV per atom

Unit cell a=6.2524 b=6.2524 c=6.2524 alpha=148.25 beta=110.35 gamma=78.57
Atoms (fractional coordinates):
Cd (0.0000, 0.0000, 0.0000)
Tc (0.7611, 0.2611, 0.5000)
Br (0.2239, 0.7239, 0.5000)
Br (0.5746, 0.5746, 0.0000)

Record 3
A plane-wave DFT calculation with PBE-GGA was carried out for an optimized crystal structure of Ni2H5Pd2.

Properties
total energy: -4.314 eV/atom

Unit cell a=5.1541 b=5.1541 c=4.8350 alpha=107.19 beta=107.19 gamma=34.17
Atoms (fractional coordinates):
Ni (0.1370, 0.1370, 0.3565)
Ni (0.8630, 0.8630, 0.6435)
H (0.0000, 0.0000, 0.5000)
H (0.1697, 0.1697, 0.0415)
H (0.3176, 0.3176, 0.4953)
H (0.6824, 0.6824, 0.5047)
H (0.8303, 0.8303, 0.9585)
Pd (0.3937, 0.3937, 0.1657)
Pd (0.6063, 0.6063, 0.8343)

Record 4
A plane-wave DFT calculation with PBE-GGA was carried out for an optimized crystal structure of KSeCl2.

Properties
formation energy (no corrections): -328 kJ/mol of formula units
energy relative to the lowest polymorph listed for this composition: 0 meV per atom

Unit cell a=4.4010 b=5.4796 c=4.9698 alpha=90.00 beta=90.43 gamma=90.00
Atoms (fractional coordinates):
K (0.0000, 0.0000, 0.0000)
Se (0.4709, 0.5000, 0.5033)
Cl (0.4780, 0.0000, 0.5028)
Cl (0.5838, 0.5000, 0.0045)

Record 5
A plane-wave DFT calculation with PBE-GGA was carried out for an optimized crystal structure of VIrAu2Se.

Properties
formation energy (no corrections): 577 kJ/mol of formula units

Unit cell a=4.8762 b=4.8762 c=4.4677 alpha=90.00 beta=90.00 gamma=90.00
Atoms (fractional coordinates):
V (0.0000, 0.0000, 0.0000)
Ir (0.5000, 0.5000, 0.5000)
Au (0.0000, 0.5000, 0.0000)
Au (0.5000, 0.0000, 0.0000)
Se (0.0000, 0.0000, 0.5000)

Record 6
A plane-wave DFT calculation with PBE-GGA was carried out for an optimized crystal structure of CeSm2NpO8.

Properties
formation energy (no corrections): -3768 kJ/mol of formula units

Unit cell a=3.8542 b=7.6276 c=5.4685 alpha=90.00 beta=91.05 gamma=90.00
Atoms (fractional coordinates):
Ce (0.0000, 0.0000, 0.0000)
Sm (0.5000, 0.2521, 0.5000)
Sm (0.5000, 0.7479, 0.5000)
Np (0.0000, 0.5000, 0.0000)
O (0.0077, 0.2705, 0.7652)
O (0.0077, 0.7295, 0.7652)
O (0.4892, 0.5000, 0.2250)
O (0.4948, 0.0000, 0.2434)
O (0.5052, 0.0000, 0.7566)
O (0.5108, 0.5000, 0.7750)
O (0.9923, 0.2705, 0.2348)
O (0.9923, 0.7295, 0.2348)

Record 7
A plane-wave DFT calculation with PBE-GGA was carried out for an optimized crystal structure of PuAlReTc.

Properties
E_form: -0.06 eV/atom

Unit cell a=4.5395 b=4.5395 c=4.5395 alpha=60.00 beta=60.00 gamma=60.00
Atoms (fractional coordinates):
Pu (0.0000, 0.0000, 0.0000)
Al (0.5000, 0.5000, 0.5000)
Re (0.2500, 0.2500, 0.2500)
Tc (0.7500, 0.7500, 0.7500)

Record 8
A plane-wave DFT calculation with PBE-GGA was carried out for an optimized crystal structure of NpHS.

Properties
total energy: -7.437 eV/atom

Unit cell a=4.7832 b=4.7832 c=4.7832 alpha=138.86 beta=138.86 gamma=59.59
Atoms (fractional coordinates):
Np (0.0000, 0.0000, 0.0000)
H (0.3776, 0.3776, 0.0000)
S (0.6717, 0.6717, 0.0000)

Record 9
A plane-wave DFT calculation with PBE-GGA was carried out for an optimized crystal structure of HgSeBr.

Properties
formation energy (no corrections): 6 kJ/mol of formula units
energy relative to the lowest polymorph listed for this composition: 302 meV per atom

Unit cell a=4.1904 b=4.1904 c=5.3915 alpha=90.00 beta=90.00 gamma=120.00
Atoms (fractional coordinates):
Hg (0.0000, 0.0000, 0.0000)
Se (0.6667, 0.3333, 0.2304)
Br (0.3333, 0.6667, 0.6590)

Record 10
A plane-wave DFT calculation with PBE-GGA was carried out for an optimized crystal structure of Ta2Nb2Mo7.

Properties
E_form: 0.33 eV/atom

Unit cell a=5.5021 b=5.5021 c=6.8647 alpha=95.49 beta=95.49 gamma=109.43
Atoms (fractional coordinates):
Ta (0.2494, 0.7506, 0.0000)
Ta (0.7506, 0.2494, 0.0000)
Nb (0.0776, 0.0776, 0.3262)
Nb (0.9224, 0.9224, 0.6738)
Mo (0.0630, 0.5734, 0.3343)
Mo (0.2580, 0.2580, 0.9972)
Mo (0.4266, 0.9370, 0.6657)
Mo (0.5000, 0.5000, 0.5000)
Mo (0.5734, 0.0630, 0.3343)
Mo (0.7420, 0.7420, 0.0028)
Mo (0.9370, 0.4266, 0.6657)

Please write out number 7 again, unchanged.
A plane-wave DFT calculation with PBE-GGA was carried out for an optimized crystal structure of PuAlReTc.

Properties
E_form: -0.06 eV/atom

Unit cell a=4.5395 b=4.5395 c=4.5395 alpha=60.00 beta=60.00 gamma=60.00
Atoms (fractional coordinates):
Pu (0.0000, 0.0000, 0.0000)
Al (0.5000, 0.5000, 0.5000)
Re (0.2500, 0.2500, 0.2500)
Tc (0.7500, 0.7500, 0.7500)